1.
DFT (GGA-PBE) results for an optimized crystal structure of KRu2Pt.

a = 2.823 Å, b = 2.823 Å, c = 9.130 Å
α = 90.00°, β = 90.00°, γ = 90.00°
Element x y z (fractional)
K 0.000 0.000 0.000
Ru 0.000 0.000 0.503
Ru 0.500 0.500 0.681
Pt 0.500 0.500 0.290

Output
size of the total moment = 0.00 μB per cell
N(E_F) = 1.350 states/eV/atom
energy = -23.9 eV/cell
V = 72.77 Å³/f.u.
formation energy = 0.436 eV/atom
polymorph energy (0 for the lowest one) = 0.0 meV/atom



2.
DFT (GGA-PBE) results for an optimized crystal structure of K2LaIr.

a = 3.835 Å, b = 3.835 Å, c = 11.202 Å
α = 90.00°, β = 90.00°, γ = 90.00°
Element x y z (fractional)
K 0.000 0.000 0.000
K 0.500 0.500 0.364
La 0.000 0.000 0.686
Ir 0.500 0.500 0.772

Output
size of the total moment = 0.00 μB per cell
N(E_F) = 0.456 states/eV/atom
energy = -16.2 eV/cell
V = 164.71 Å³/f.u.
formation energy = -0.050 eV/atom
polymorph energy (0 for the lowest one) = 30.5 meV/atom



3.
DFT (GGA-PBE) results for an optimized crystal structure of Gd3Y5O12.

a = 9.314 Å, b = 9.321 Å, c = 9.321 Å
α = 109.49°, β = 109.45°, γ = 109.42°
Element x y z (fractional)
Gd 0.000 0.000 0.000
Gd 0.032 0.218 0.750
Gd 0.250 0.469 0.283
Gd 0.530 0.783 0.814
Gd 0.748 0.967 0.282
Gd 0.813 0.531 0.782
Y 0.031 0.717 0.251
Y 0.064 0.501 0.565
Y 0.281 0.249 0.532
Y 0.281 0.751 0.033
Y 0.315 0.033 0.782
Y 0.497 0.000 0.499
Y 0.532 0.282 0.315
Y 0.564 0.499 0.065
Y 0.780 0.251 0.033
Y 0.782 0.749 0.531
O 0.008 0.490 0.304
O 0.012 0.221 0.490
O 0.019 0.262 0.001
O 0.045 0.482 0.805
O 0.052 0.977 0.769
O 0.053 0.791 0.045
O 0.238 0.979 0.500
O 0.253 0.208 0.263
O 0.269 0.782 0.793
O 0.292 0.721 0.272
O 0.316 0.292 0.803
O 0.322 0.518 0.564
O 0.507 0.706 0.021
O 0.513 0.522 0.293
O 0.518 0.020 0.260
O 0.541 0.238 0.064
O 0.550 0.279 0.572
O 0.553 0.014 0.762
O 0.739 0.738 0.758
O 0.747 0.987 0.543
O 0.770 0.478 0.992
O 0.791 0.023 0.074
O 0.812 0.509 0.519
O 0.824 0.759 0.304

Output
size of the total moment = 41.99 μB per cell
N(E_F) = 0.000 states/eV/atom
energy = -409.0 eV/cell
V = 311.66 Å³/f.u.
formation energy without anion corrections = -3.523 eV per atom